This record from the Alexandria database describes a relaxed structure of BaTaTiSe6. The functional is PBE.

Results
**E_form (uncorrected)**: -0.99 eV per atom
**Spin magnetization**: 0.00 μB/f.u.

a b c (Å): 6.480 6.480 7.605
angles (deg): 90.00 90.00 60.00
Fractional coordinates of all 9 atoms:
Ti 0.667 0.667 0.500
Se 0.997 0.367 0.301
Se 0.997 0.636 0.699
Se 0.367 0.636 0.301
Se 0.636 0.367 0.699
Se 0.636 0.997 0.301
Se 0.367 0.997 0.699
Ba 0.000 0.000 0.000
Ta 0.333 0.333 0.500